# TePPb3

An optimized crystal structure of TePPb3 (GGA-PBE, the Alexandria database).

Calculated values
Final energy, eV/atom: -3.0977
Offset from the most stable computed form, meV per atom: 600
Uncorrected formation energy, eV/f.u.: 4.2

```
TePPb3
1.0
5.9317 0.0000 0.0000
0.0000 5.9317 0.0000
0.0000 0.0000 5.9317
Te P Pb
1 1 3
direct
0.0000 0.0000 0.0000
0.5000 0.5000 0.5000
0.0000 0.0000 0.5000
0.0000 0.5000 0.0000
0.5000 0.0000 0.0000
```